w) # SrSiTc3

A geometry-optimized SrSiTc3 structure (GGA-PBE, Alexandria via LeMat-Bulk).

a b c (Å): 4.8402 4.8402 4.8402
angles (deg): 90.00 90.00 90.00
Fractional coordinates of all 5 atoms:
Sr 0.0000 0.0000 0.0000
Si 0.5000 0.5000 0.5000
Tc 0.0000 0.0000 0.5000
Tc 0.0000 0.5000 0.0000
Tc 0.5000 0.0000 0.0000

Summary:
* N(E_F): 1.56 states/eV per atom
* crystal system: cubic

x) # SrSiTc3

A geometry-optimized SrSiTc3 structure (GGA-PBE, Alexandria via LeMat-Bulk).

a b c (Å): 4.6227 4.6227 4.6227
angles (deg): 90.00 90.00 90.00
Fractional coordinates of all 5 atoms:
Sr 0.0000 0.0000 0.0000
Si 0.5000 0.5000 0.5000
Tc 0.0000 0.5000 0.5000
Tc 0.5000 0.0000 0.5000
Tc 0.5000 0.5000 0.0000

Summary:
* N(E_F): 1.48 states/eV per atom
* crystal system: cubic

x) has the most favorable energy; the next structure is 2327 meV per atom above.

w) # Sr2SiTe

A geometry-optimized Sr2SiTe structure (GGA-PBE, Alexandria via LeMat-Bulk).

a b c (Å): 5.6163 5.6163 5.6163
angles (deg): 60.00 60.00 60.00
Fractional coordinates of all 4 atoms:
Sr 0.2500 0.2500 0.2500
Sr 0.7500 0.7500 0.7500
Si 0.0000 0.0000 0.0000
Te 0.5000 0.5000 0.5000

Summary:
* N(E_F): 1.15 states/eV per atom
* crystal system: cubic

x) # Sr2SiTe

A geometry-optimized Sr2SiTe structure (GGA-PBE, Alexandria via LeMat-Bulk).

a b c (Å): 8.8771 8.8771 8.8771
angles (deg): 28.67 28.67 28.67
Fractional coordinates of all 4 atoms:
Sr 0.2479 0.2479 0.2479
Sr 0.7521 0.7521 0.7521
Si 0.0000 0.0000 0.0000
Te 0.5000 0.5000 0.5000

Summary:
* N(E_F): 0.77 states/eV per atom
* crystal system: trigonal

x) has the most favorable energy; the next structure is 117 meV per atom above.

w) # Sr2SiTe

A geometry-optimized Sr2SiTe structure (GGA-PBE, Alexandria via LeMat-Bulk).

a b c (Å): 6.8350 6.8350 6.8350
angles (deg): 142.89 138.45 56.92
Fractional coordinates of all 4 atoms:
Sr 0.0000 0.0000 0.0000
Sr 0.7423 0.2423 0.5000
Si 0.4799 0.4799 0.0000
Te 0.2548 0.7548 0.5000

Summary:
* N(E_F): 0.66 states/eV per atom
* crystal system: orthorhombic

x) # Sr2SiTe

A geometry-optimized Sr2SiTe structure (GGA-PBE, Alexandria via LeMat-Bulk).

a b c (Å): 3.9206 5.6410 5.6588
angles (deg): 90.00 90.00 90.00
Fractional coordinates of all 4 atoms:
Sr 0.0000 0.0000 0.0000
Sr 0.0000 0.5000 0.5000
Si 0.5000 0.0000 0.5000
Te 0.5000 0.5000 0.0000

Summary:
* N(E_F): 0.82 states/eV per atom
* crystal system: orthorhombic

x) has the most favorable energy; the next structure is 104 meV per atom above.

w) # Sr2Si2Te

A geometry-optimized Sr2Si2Te structure (GGA-PBE, Alexandria via LeMat-Bulk).

a b c (Å): 8.1286 8.1286 4.3485
angles (deg): 90.00 90.00 90.00
Fractional coordinates of all 10 atoms:
Sr 0.1880 0.3120 0.0000
Sr 0.3120 0.8120 0.0000
Sr 0.6880 0.1880 0.0000
Sr 0.8120 0.6880 0.0000
Si 0.0989 0.5989 0.5000
Si 0.4011 0.0989 0.5000
Si 0.5989 0.9011 0.5000
Si 0.9011 0.4011 0.5000
Te 0.0000 0.0000 0.5000
Te 0.5000 0.5000 0.5000

Summary:
* N(E_F): 0.66 states/eV per atom
* crystal system: tetragonal

x) # Sr2Si2Te

A geometry-optimized Sr2Si2Te structure (GGA-PBE, Alexandria via LeMat-Bulk).

a b c (Å): 5.9992 5.9992 5.9992
angles (deg): 118.61 118.61 92.43
Fractional coordinates of all 5 atoms:
Sr 0.2500 0.7500 0.5000
Sr 0.7500 0.2500 0.5000
Si 0.1357 0.1357 0.0000
Si 0.8643 0.8643 0.0000
Te 0.5000 0.5000 0.0000

Summary:
* N(E_F): 0.56 states/eV per atom
* crystal system: tetragonal

y) # Sr2Si2Te

A geometry-optimized Sr2Si2Te structure (GGA-PBE, Alexandria via LeMat-Bulk).

a b c (Å): 9.5683 9.5683 9.5683
angles (deg): 156.40 156.40 33.62
Fractional coordinates of all 5 atoms:
Sr 0.1069 0.1069 0.0000
Sr 0.8931 0.8931 0.0000
Si 0.2500 0.7500 0.5000
Si 0.7500 0.2500 0.5000
Te 0.5000 0.5000 0.0000

Summary:
* N(E_F): 0.41 states/eV per atom
* crystal system: tetragonal

y) has the most favorable energy; the next structure is 98 meV per atom above.

w) # SrSiTe3

A geometry-optimized SrSiTe3 structure (GGA-PBE, Alexandria via LeMat-Bulk).

a b c (Å): 8.0228 8.6727 12.4547
angles (deg): 90.00 128.21 90.00
Fractional coordinates of all 20 atoms:
Sr 0.2402 0.1088 0.2546
Sr 0.2402 0.3912 0.7546
Sr 0.7598 0.6088 0.2454
Sr 0.7598 0.8912 0.7454
Si 0.1251 0.5973 0.0676
Si 0.1251 0.9027 0.5676
Si 0.8749 0.0973 0.4324
Si 0.8749 0.4027 0.9324
Te 0.0916 0.1980 0.9224
Te 0.0916 0.3020 0.4224
Te 0.2537 0.7113 0.9413
Te 0.2537 0.7887 0.4413
Te 0.4191 0.0190 0.7992
Te 0.4191 0.4810 0.2992
Te 0.5809 0.5190 0.7008
Te 0.5809 0.9810 0.2008
Te 0.7463 0.2113 0.5587
Te 0.7463 0.2887 0.0587
Te 0.9084 0.6980 0.5776
Te 0.9084 0.8020 0.0776

Summary:
* N(E_F): 0.47 states/eV per atom
* crystal system: monoclinic

x) # SrSiTe3

A geometry-optimized SrSiTe3 structure (GGA-PBE, Alexandria via LeMat-Bulk).

a b c (Å): 6.1041 6.1041 6.1041
angles (deg): 90.00 90.00 90.00
Fractional coordinates of all 5 atoms:
Sr 0.0000 0.0000 0.0000
Si 0.5000 0.5000 0.5000
Te 0.0000 0.0000 0.5000
Te 0.0000 0.5000 0.0000
Te 0.5000 0.0000 0.0000

Summary:
* N(E_F): 1.51 states/eV per atom
* crystal system: cubic

y) # SrSiTe3

A geometry-optimized SrSiTe3 structure (GGA-PBE, Alexandria via LeMat-Bulk).

a b c (Å): 5.3997 5.3997 5.3997
angles (deg): 90.00 90.00 90.00
Fractional coordinates of all 5 atoms:
Sr 0.0000 0.0000 0.0000
Si 0.5000 0.5000 0.5000
Te 0.0000 0.5000 0.5000
Te 0.5000 0.0000 0.5000
Te 0.5000 0.5000 0.0000

Summary:
* N(E_F): 0.58 states/eV per atom
* crystal system: cubic

w) has the most favorable energy; the next structure is 236 meV per atom above.

w) # SrTl2Si

A geometry-optimized SrTl2Si structure (GGA-PBE, Alexandria via LeMat-Bulk).

a b c (Å): 5.2306 5.2306 4.6286
angles (deg): 90.00 90.00 104.59
Fractional coordinates of all 4 atoms:
Sr 0.0000 0.0000 0.0000
Tl 0.3017 0.6983 0.5000
Tl 0.6983 0.3017 0.5000
Si 0.5000 0.5000 0.0000

Summary:
* N(E_F): 0.37 states/eV per atom
* crystal system: orthorhombic

x) # SrTl2Si

A geometry-optimized SrTl2Si structure (GGA-PBE, Alexandria via LeMat-Bulk).

a b c (Å): 5.7464 5.7464 5.7464
angles (deg): 128.43 128.43 75.93
Fractional coordinates of all 4 atoms:
Sr 0.0000 0.0000 0.0000
Tl 0.2500 0.7500 0.5000
Tl 0.5000 0.5000 0.0000
Si 0.7500 0.2500 0.5000

Summary:
* N(E_F): 0.40 states/eV per atom
* crystal system: tetragonal

y) # SrTl2Si

A geometry-optimized SrTl2Si structure (GGA-PBE, Alexandria via LeMat-Bulk).

a b c (Å): 5.4255 5.4255 5.4255
angles (deg): 60.00 60.00 60.00
Fractional coordinates of all 4 atoms:
Sr 0.0000 0.0000 0.0000
Tl 0.2500 0.2500 0.2500
Tl 0.7500 0.7500 0.7500
Si 0.5000 0.5000 0.5000

Summary:
* N(E_F): 0.47 states/eV per atom
* crystal system: cubic

w) has the most favorable energy; the next structure is 78 meV per atom above.

w) # SrTl2Si

A geometry-optimized SrTl2Si structure (GGA-PBE, Alexandria via LeMat-Bulk).

a b c (Å): 6.7010 6.7010 6.7010
angles (deg): 41.08 41.08 41.08
Fractional coordinates of all 4 atoms:
Sr 0.0000 0.0000 0.0000
Tl 0.2272 0.2272 0.2272
Tl 0.7728 0.7728 0.7728
Si 0.5000 0.5000 0.5000

Summary:
* N(E_F): 0.15 states/eV per atom
* crystal system: trigonal

x) # SrTl2Si

A geometry-optimized SrTl2Si structure (GGA-PBE, Alexandria via LeMat-Bulk).

a b c (Å): 4.5180 4.5180 5.8045
angles (deg): 90.00 90.00 90.00
Fractional coordinates of all 4 atoms:
Sr 0.0000 0.0000 0.0000
Tl 0.0000 0.5000 0.4895
Tl 0.5000 0.0000 0.4895
Si 0.5000 0.5000 0.8339

Summary:
* N(E_F): 0.50 states/eV per atom
* crystal system: tetragonal

x) has the most favorable energy; the next structure is 45 meV per atom above.

w) # SrTl2Si

A geometry-optimized SrTl2Si structure (GGA-PBE, Alexandria via LeMat-Bulk).

a b c (Å): 11.5722 11.5722 11.5722
angles (deg): 156.63 156.63 33.29
Fractional coordinates of all 8 atoms:
Sr 0.0000 0.0000 0.0000
Sr 0.7500 0.2500 0.5000
Tl 0.1571 0.6250 0.0321
Tl 0.3750 0.4071 0.5321
Tl 0.5929 0.1250 0.9679
Tl 0.8750 0.8429 0.4679
Si 0.2500 0.7500 0.5000
Si 0.5000 0.5000 0.0000

Summary:
* N(E_F): 0.74 states/eV per atom
* crystal system: tetragonal

x) # SrTl2Si

A geometry-optimized SrTl2Si structure (GGA-PBE, Alexandria via LeMat-Bulk).

a b c (Å): 6.0516 6.0516 6.0516
angles (deg): 134.32 134.32 66.59
Fractional coordinates of all 4 atoms:
Sr 0.0000 0.0000 0.0000
Tl 0.2500 0.7500 0.5000
Tl 0.7500 0.2500 0.5000
Si 0.5000 0.5000 0.0000

Summary:
* N(E_F): 0.42 states/eV per atom
* crystal system: tetragonal

y) # SrTl2Si

A geometry-optimized SrTl2Si structure (GGA-PBE, Alexandria via LeMat-Bulk).

a b c (Å): 6.4611 6.4611 5.3699
angles (deg): 114.45 114.45 34.56
Fractional coordinates of all 4 atoms:
Sr 0.0000 0.0000 0.0000
Tl 0.2096 0.2096 0.7091
Tl 0.7904 0.7904 0.2909
Si 0.5000 0.5000 0.5000

Summary:
* N(E_F): 0.59 states/eV per atom
* crystal system: monoclinic

z) # SrTl2Si

A geometry-optimized SrTl2Si structure (GGA-PBE, Alexandria via LeMat-Bulk).

a b c (Å): 3.9606 3.9606 7.2267
angles (deg): 90.00 90.00 90.00
Fractional coordinates of all 4 atoms:
Sr 0.0000 0.0000 0.0000
Tl 0.0000 0.0000 0.5423
Tl 0.5000 0.5000 0.3066
Si 0.5000 0.5000 0.7210

Summary:
* N(E_F): 0.62 states/eV per atom
* crystal system: tetragonal

y) has the most favorable energy; the next structure is 41 meV per atom above.

w) # SrTl3Si

A geometry-optimized SrTl3Si structure (GGA-PBE, Alexandria via LeMat-Bulk).

a b c (Å): 6.0922 6.0922 6.0922
angles (deg): 90.00 90.00 90.00
Fractional coordinates of all 5 atoms:
Sr 0.0000 0.0000 0.0000
Tl 0.0000 0.0000 0.5000
Tl 0.0000 0.5000 0.0000
Tl 0.5000 0.0000 0.0000
Si 0.5000 0.5000 0.5000

Summary:
* N(E_F): 0.59 states/eV per atom
* crystal system: cubic

x) # SrTl3Si

A geometry-optimized SrTl3Si structure (GGA-PBE, Alexandria via LeMat-Bulk).

a b c (Å): 5.4790 5.4790 5.4790
angles (deg): 90.00 90.00 90.00
Fractional coordinates of all 5 atoms:
Sr 0.0000 0.0000 0.0000
Tl 0.0000 0.5000 0.5000
Tl 0.5000 0.0000 0.5000
Tl 0.5000 0.5000 0.0000
Si 0.5000 0.5000 0.5000

Summary:
* N(E_F): 0.48 states/eV per atom
* crystal system: cubic

x) has the most favorable energy; the next structure is 876 meV per atom above.

w) # SrSi2W

A geometry-optimized SrSi2W structure (GGA-PBE, Alexandria via LeMat-Bulk).

a b c (Å): 3.3204 3.3575 7.2770
angles (deg): 90.00 90.00 90.00
Fractional coordinates of all 4 atoms:
Sr 0.0000 0.0000 0.0000
Si 0.0000 0.0000 0.4779
Si 0.5000 0.5000 0.6804
W 0.5000 0.5000 0.3461

Summary:
* N(E_F): 0.91 states/eV per atom
* crystal system: orthorhombic

x) # SrSi2W

A geometry-optimized SrSi2W structure (GGA-PBE, Alexandria via LeMat-Bulk).

a b c (Å): 3.4971 3.5793 6.8701
angles (deg): 90.00 104.67 90.00
Fractional coordinates of all 4 atoms:
Sr 0.0000 0.0000 0.0000
Si 0.2394 0.0000 0.4802
Si 0.3596 0.5000 0.7193
W 0.7105 0.5000 0.4221

Summary:
* N(E_F): 0.41 states/eV per atom
* crystal system: monoclinic

x) has the most favorable energy; the next structure is 162 meV per atom above.

w) # SrSi2W

A geometry-optimized SrSi2W structure (GGA-PBE, Alexandria via LeMat-Bulk).

a b c (Å): 7.6299 7.6299 7.6299
angles (deg): 27.71 27.71 27.71
Fractional coordinates of all 4 atoms:
Sr 0.0000 0.0000 0.0000
Si 0.2314 0.2314 0.2314
Si 0.7686 0.7686 0.7686
W 0.5000 0.5000 0.5000

Summary:
* N(E_F): 0.73 states/eV per atom
* crystal system: trigonal

x) # SrSi2W

A geometry-optimized SrSi2W structure (GGA-PBE, Alexandria via LeMat-Bulk).

a b c (Å): 5.5324 5.5324 5.5324
angles (deg): 144.00 116.79 74.95
Fractional coordinates of all 4 atoms:
Sr 0.0000 0.0000 0.0000
Si 0.2940 0.7940 0.5000
Si 0.7060 0.2060 0.5000
W 0.5000 0.5000 0.0000

Summary:
* N(E_F): 0.79 states/eV per atom
* crystal system: orthorhombic

w) has the most favorable energy; the next structure is 321 meV per atom above.

w) # SrSi2W

A geometry-optimized SrSi2W structure (GGA-PBE, Alexandria via LeMat-Bulk).

a b c (Å): 4.7027 4.7027 4.7027
angles (deg): 60.00 60.00 60.00
Fractional coordinates of all 4 atoms:
Sr 0.0000 0.0000 0.0000
Si 0.2500 0.2500 0.2500
Si 0.5000 0.5000 0.5000
W 0.7500 0.7500 0.7500

Summary:
* N(E_F): 0.95 states/eV per atom
* crystal system: cubic

x) # SrSi2W

A geometry-optimized SrSi2W structure (GGA-PBE, Alexandria via LeMat-Bulk).

a b c (Å): 7.1636 7.1636 7.1636
angles (deg): 151.34 150.97 41.25
Fractional coordinates of all 4 atoms:
Sr 0.0000 0.0000 0.0000
Si 0.3638 0.3638 0.0000
Si 0.7364 0.2364 0.5000
W 0.2234 0.7234 0.5000

Summary:
* N(E_F): 0.34 states/eV per atom
* crystal system: orthorhombic

x) has the most favorable energy; the next structure is 882 meV per atom above.